## Ho2Al3Si4 (PBE)

Data for a geometry-optimized Ho2Al3Si4 structure.

density = 5.33 g/cm³
total energy = -5.039 eV/atom
crystal system = orthorhombic
ΔE_f (raw) = -35 kJ per mole of atoms

Cell: 5.744 7.766 7.848 Å, 90.00 111.47 90.00°
Sites, in units of the cell vectors:
Ho 0.113 0.582 0.227
Ho 0.887 0.418 0.773
Ho 0.387 0.082 0.773
Ho 0.613 0.918 0.227
Al 0.000 0.000 0.000
Al 0.500 0.500 0.000
Al 0.533 0.750 0.566
Al 0.967 0.250 0.434
Al 0.467 0.250 0.434
Al 0.033 0.750 0.566
Si 0.703 0.750 0.907
Si 0.797 0.250 0.093
Si 0.297 0.250 0.093
Si 0.203 0.750 0.907
Si 0.185 0.951 0.370
Si 0.815 0.049 0.630
Si 0.315 0.451 0.630
Si 0.685 0.549 0.370